1.
! SnTe2NO, relaxed, DFT PBE; values from VASP
! * space group: P4/mmm
! * relative energy among the computed polymorphs: 0 meV per atom
&SYSTEM
  ibrav = 0, nat = 5, ntyp = 4
/
ATOMIC_SPECIES
Sn 118.71 Sn.upf
Te 127.60 Te.upf
N 14.01 N.upf
O 16.00 O.upf
CELL_PARAMETERS angstrom
4.733 0.000 0.000
0.000 4.733 0.000
0.000 0.000 4.589
ATOMIC_POSITIONS crystal
Sn 0.000 0.000 0.000
Te 0.000 0.500 0.500
Te 0.500 0.000 0.500
N 0.500 0.500 0.000
O 0.500 0.500 0.500

2.
! SnTeNO2, relaxed, DFT PBE; values from VASP
! * space group: P4/mmm
&SYSTEM
  ibrav = 0, nat = 5, ntyp = 4
/
ATOMIC_SPECIES
Sn 118.71 Sn.upf
Te 127.60 Te.upf
N 14.01 N.upf
O 16.00 O.upf
CELL_PARAMETERS angstrom
4.035 0.000 0.000
0.000 4.035 0.000
0.000 0.000 4.283
ATOMIC_POSITIONS crystal
Sn 0.000 0.000 0.000
Te 0.500 0.500 0.500
N 0.000 0.000 0.500
O 0.000 0.500 0.000
O 0.500 0.000 0.000

3.
! TiSnNO2, relaxed, DFT PBE; values from VASP
! * space group: P4/mmm
&SYSTEM
  ibrav = 0, nat = 5, ntyp = 4
/
ATOMIC_SPECIES
Ti 47.87 Ti.upf
Sn 118.71 Sn.upf
N 14.01 N.upf
O 16.00 O.upf
CELL_PARAMETERS angstrom
3.813 0.000 0.000
0.000 3.813 0.000
0.000 0.000 4.260
ATOMIC_POSITIONS crystal
Ti 0.000 0.000 0.000
Sn 0.500 0.500 0.500
N 0.000 0.000 0.500
O 0.000 0.500 0.000
O 0.500 0.000 0.000

4.
! TiSnNO2, relaxed, DFT PBE; values from VASP
! * space group: P4/mmm
&SYSTEM
  ibrav = 0, nat = 5, ntyp = 4
/
ATOMIC_SPECIES
Ti 47.87 Ti.upf
Sn 118.71 Sn.upf
N 14.01 N.upf
O 16.00 O.upf
CELL_PARAMETERS angstrom
3.984 0.000 0.000
0.000 3.984 0.000
0.000 0.000 4.120
ATOMIC_POSITIONS crystal
Ti 0.000 0.000 0.000
Sn 0.500 0.500 0.500
N 0.500 0.500 0.000
O 0.000 0.500 0.500
O 0.500 0.000 0.500

5.
! TlSnNO2, relaxed, DFT PBE; values from VASP
! * space group: P4/mmm
&SYSTEM
  ibrav = 0, nat = 5, ntyp = 4
/
ATOMIC_SPECIES
Tl 204.38 Tl.upf
Sn 118.71 Sn.upf
N 14.01 N.upf
O 16.00 O.upf
CELL_PARAMETERS angstrom
4.047 0.000 0.000
0.000 4.047 0.000
0.000 0.000 4.381
ATOMIC_POSITIONS crystal
Tl 0.000 0.000 0.000
Sn 0.500 0.500 0.500
N 0.500 0.500 0.000
O 0.000 0.500 0.500
O 0.500 0.000 0.500

6.
! TlSnNO2, relaxed, DFT PBE; values from VASP
! * space group: P4/mmm
&SYSTEM
  ibrav = 0, nat = 5, ntyp = 4
/
ATOMIC_SPECIES
Tl 204.38 Tl.upf
Sn 118.71 Sn.upf
N 14.01 N.upf
O 16.00 O.upf
CELL_PARAMETERS angstrom
4.315 0.000 0.000
0.000 4.315 0.000
0.000 0.000 4.317
ATOMIC_POSITIONS crystal
Tl 0.000 0.000 0.000
Sn 0.500 0.500 0.500
N 0.000 0.000 0.500
O 0.000 0.500 0.000
O 0.500 0.000 0.000

7.
! TlSnN2O, relaxed, DFT PBE; values from VASP
! * space group: P4/mmm
&SYSTEM
  ibrav = 0, nat = 5, ntyp = 4
/
ATOMIC_SPECIES
Tl 204.38 Tl.upf
Sn 118.71 Sn.upf
N 14.01 N.upf
O 16.00 O.upf
CELL_PARAMETERS angstrom
4.343 0.000 0.000
0.000 4.343 0.000
0.000 0.000 4.143
ATOMIC_POSITIONS crystal
Tl 0.000 0.000 0.000
Sn 0.500 0.500 0.500
N 0.000 0.500 0.500
N 0.500 0.000 0.500
O 0.500 0.500 0.000

8.
! TlSnN2O, relaxed, DFT PBE; values from VASP
! * space group: P4/mmm
&SYSTEM
  ibrav = 0, nat = 5, ntyp = 4
/
ATOMIC_SPECIES
Tl 204.38 Tl.upf
Sn 118.71 Sn.upf
N 14.01 N.upf
O 16.00 O.upf
CELL_PARAMETERS angstrom
4.356 0.000 0.000
0.000 4.356 0.000
0.000 0.000 4.368
ATOMIC_POSITIONS crystal
Tl 0.000 0.000 0.000
Sn 0.500 0.500 0.500
N 0.000 0.500 0.000
N 0.500 0.000 0.000
O 0.000 0.000 0.500

| no. | size of the total moment (μB per atom) | DFT total energy (eV/f.u.) |
| --- | --- | --- |
| 1 | 0.339 | -18.902 |
| 2 | 0.000 | -25.277 |
| 3 | 0.000 | -36.677 |
| 4 | 0.200 | -32.186 |
| 5 | 0.000 | -25.242 |
| 6 | 0.249 | -21.733 |
| 7 | 0.598 | -24.434 |
| 8 | 0.457 | -21.064 |